1.
This record from Alexandria via LeMat-Bulk describes Na2BTeN after structural relaxation. The functional is GGA-PBE.

Unit cell a=5.877 b=4.578 c=5.877 alpha=90.00 beta=90.00 gamma=90.00
Each line ends with the local moment (μB).
Sites, in units of the cell vectors:
1 Na 0.000 0.000 0.500  0.00
2 Na 0.500 0.000 0.000  0.00
3 B 0.000 0.500 0.000  -0.15
4 Te 0.000 0.000 0.000  0.02
5 N 0.500 0.500 0.500  1.38

Values from the calculation:
* magnetization: 1.726 μB/cell
* E_tot: -2.8265 eV per atom
* density: 2.1 g cm⁻³
* space group: P4/mmm
* formation energy without anion corrections: 128.33 kJ per mole of atoms

2.
This record from Alexandria via LeMat-Bulk describes NaZrB2N after structural relaxation. The functional is GGA-PBE.

Unit cell a=4.334 b=7.316 c=4.334 alpha=90.00 beta=90.00 gamma=90.00
Each line ends with the local moment (μB).
Sites, in units of the cell vectors:
1 Na 0.000 0.500 0.000  -0.02
2 B 0.000 0.000 0.500  0.02
3 B 0.500 0.000 0.000  0.03
4 Zr 0.000 0.000 0.000  0.01
5 N 0.500 0.500 0.500  1.49

Values from the calculation:
* energy above the lowest structure with this stoichiometry: 1.241 eV per atom
* magnetization: 2.238 μB/cell
* E_tot: -3.9895 eV per atom
* density: 1.8 g cm⁻³
* space group: P4/mmm
* formation energy without anion corrections: 223.85 kJ per mole of atoms